First-principles (PBE-GGA) data for an optimized crystal structure of In2HI2, as listed in Alexandria. Values from VASP.

Structure (Quantum ESPRESSO input):
```
&SYSTEM
  ibrav = 0, nat = 5, ntyp = 3
/
ATOMIC_SPECIES
In 114.82 In.upf
H 1.01 H.upf
I 126.90 I.upf
CELL_PARAMETERS angstrom
-3.514 3.514 3.699
3.514 -3.514 3.699
3.514 3.514 -3.699
ATOMIC_POSITIONS crystal
In 0.250 0.750 0.500
In 0.750 0.250 0.500
H 0.000 0.000 0.000
I 0.256 0.256 0.000
I 0.744 0.744 0.000
```

Computed properties:
Its symmetry is I4/mmm (139). Its size of the total moment is 0.00 μB/atom. The relative energy among the computed polymorphs comes out at 245 meV per atom. The mass density is 4.40 g cm⁻³.


First-principles (PBE-GGA) data for an optimized crystal structure of InHI4, as listed in Alexandria. Values from VASP.

Structure (Quantum ESPRESSO input):
```
&SYSTEM
  ibrav = 0, nat = 12, ntyp = 3
/
ATOMIC_SPECIES
In 114.82 In.upf
H 1.01 H.upf
I 126.90 I.upf
CELL_PARAMETERS angstrom
3.163 -13.866 0.000
3.163 13.866 0.000
-1.056 0.000 7.059
ATOMIC_POSITIONS crystal
In 0.105 0.895 0.750
In 0.895 0.105 0.250
H 0.329 0.671 0.250
H 0.671 0.329 0.750
I 0.074 0.419 0.064
I 0.205 0.323 0.522
I 0.323 0.205 0.022
I 0.419 0.074 0.564
I 0.581 0.926 0.436
I 0.677 0.795 0.978
I 0.795 0.677 0.478
I 0.926 0.581 0.936
```

Computed properties:
Its symmetry is C2/c (15). Its size of the total moment is 0.00 μB/atom. The calculation puts the total energy at -2.350 eV/atom. The mass density is 3.34 g cm⁻³.


First-principles (PBE-GGA) data for an optimized crystal structure of InHI, as listed in Alexandria. Values from VASP.

Structure (Quantum ESPRESSO input):
```
&SYSTEM
  ibrav = 0, nat = 6, ntyp = 3
/
ATOMIC_SPECIES
In 114.82 In.upf
H 1.01 H.upf
I 126.90 I.upf
CELL_PARAMETERS angstrom
4.926 0.000 0.000
-2.398 6.140 0.000
-2.231 -1.157 6.124
ATOMIC_POSITIONS crystal
In 0.000 0.000 0.000
In 0.288 0.614 0.525
H 0.382 0.176 0.055
H 0.615 0.941 0.823
I 0.951 0.003 0.424
I 0.953 0.549 0.910
```

Computed properties:
Its symmetry is P1 (1). Its size of the total moment is 0.00 μB/atom. The calculation puts the total energy at -2.695 eV/atom. The mass density is 4.35 g cm⁻³.


First-principles (PBE-GGA) data for an optimized crystal structure of In2HI, as listed in Alexandria. Values from VASP.

Structure (Quantum ESPRESSO input):
```
&SYSTEM
  ibrav = 0, nat = 8, ntyp = 3
/
ATOMIC_SPECIES
In 114.82 In.upf
H 1.01 H.upf
I 126.90 I.upf
CELL_PARAMETERS angstrom
-3.152 3.152 6.290
3.152 -3.152 6.290
3.152 3.152 -6.290
ATOMIC_POSITIONS crystal
In 0.375 0.222 0.347
In 0.778 0.125 0.153
In 0.875 0.028 0.653
In 0.972 0.625 0.847
H 0.000 0.000 0.000
H 0.750 0.250 0.500
I 0.250 0.750 0.500
I 0.500 0.500 0.000
```

Computed properties:
Its symmetry is I-42d (122). Its size of the total moment is 0.00 μB/atom. The relative energy among the computed polymorphs comes out at 0 meV per atom. The mass density is 4.75 g cm⁻³.